Density functional theory data (GGA-PBE) for CoMo4N3 after structural relaxation.

Cell: 2.820 2.820 25.595 Å, 90.00 90.00 120.00°
Sites, in units of the cell vectors:
Co (0.333, 0.667, 0.250)
Co (0.667, 0.333, 0.750)
Mo (0.000, 0.000, 0.170)
Mo (0.000, 0.000, 0.330)
Mo (0.000, 0.000, 0.670)
Mo (0.000, 0.000, 0.830)
Mo (0.333, 0.667, 0.057)
Mo (0.333, 0.667, 0.443)
Mo (0.667, 0.333, 0.557)
Mo (0.667, 0.333, 0.943)
N (0.000, 0.000, 0.000)
N (0.000, 0.000, 0.500)
N (0.333, 0.667, 0.615)
N (0.333, 0.667, 0.885)
N (0.667, 0.333, 0.115)
N (0.667, 0.333, 0.385)

Density functional theory data (GGA-PBE) for Co2Mo4N after structural relaxation.

Cell: 7.944 7.944 7.944 Å, 60.00 60.00 60.00°
Sites, in units of the cell vectors:
Co (0.121, 0.793, 0.793)
Co (0.207, 0.207, 0.207)
Co (0.207, 0.207, 0.879)
Co (0.207, 0.879, 0.207)
Co (0.793, 0.121, 0.793)
Co (0.793, 0.793, 0.121)
Co (0.793, 0.793, 0.793)
Co (0.879, 0.207, 0.207)
Mo (0.000, 0.000, 0.000)
Mo (0.000, 0.000, 0.500)
Mo (0.000, 0.500, 0.000)
Mo (0.186, 0.186, 0.564)
Mo (0.186, 0.564, 0.186)
Mo (0.186, 0.564, 0.564)
Mo (0.436, 0.436, 0.814)
Mo (0.436, 0.814, 0.436)
Mo (0.436, 0.814, 0.814)
Mo (0.500, 0.000, 0.000)
Mo (0.564, 0.186, 0.186)
Mo (0.564, 0.186, 0.564)
Mo (0.564, 0.564, 0.186)
Mo (0.814, 0.436, 0.436)
Mo (0.814, 0.436, 0.814)
Mo (0.814, 0.814, 0.436)
N (0.000, 0.500, 0.500)
N (0.500, 0.000, 0.500)
N (0.500, 0.500, 0.000)
N (0.500, 0.500, 0.500)

Density functional theory data (GGA-PBE) for Nb2Co3Mo4N3 after structural relaxation.

Cell: 5.039 5.039 13.451 Å, 100.69 100.69 60.53°
Sites, in units of the cell vectors:
Nb (0.041, 0.879, 0.627)
Nb (0.121, 0.959, 0.873)
Nb (0.879, 0.041, 0.127)
Nb (0.959, 0.121, 0.373)
Co (0.088, 0.462, 0.748)
Co (0.357, 0.643, 0.250)
Co (0.462, 0.088, 0.248)
Co (0.538, 0.912, 0.752)
Co (0.643, 0.357, 0.750)
Co (0.912, 0.538, 0.252)
Mo (0.202, 0.369, 0.093)
Mo (0.313, 0.458, 0.408)
Mo (0.369, 0.202, 0.593)
Mo (0.458, 0.313, 0.908)
Mo (0.542, 0.687, 0.092)
Mo (0.631, 0.798, 0.407)
Mo (0.687, 0.542, 0.592)
Mo (0.798, 0.631, 0.907)
N (0.000, 0.500, 0.500)
N (0.147, 0.704, 0.000)
N (0.296, 0.853, 0.500)
N (0.500, 0.000, 0.000)
N (0.704, 0.147, 0.500)
N (0.853, 0.296, 0.000)

Density functional theory data (GGA-PBE) for Nb4Co3Mo2N3 after structural relaxation.

Cell: 5.159 5.159 13.475 Å, 101.12 101.12 59.54°
Sites, in units of the cell vectors:
Nb (0.029, 0.202, 0.096)
Nb (0.134, 0.301, 0.404)
Nb (0.202, 0.029, 0.596)
Nb (0.301, 0.134, 0.904)
Nb (0.699, 0.866, 0.096)
Nb (0.798, 0.971, 0.404)
Nb (0.866, 0.699, 0.596)
Nb (0.971, 0.798, 0.904)
Co (0.006, 0.416, 0.750)
Co (0.162, 0.838, 0.750)
Co (0.416, 0.006, 0.250)
Co (0.584, 0.994, 0.750)
Co (0.838, 0.162, 0.250)
Co (0.994, 0.584, 0.250)
Mo (0.377, 0.545, 0.125)
Mo (0.455, 0.623, 0.375)
Mo (0.545, 0.377, 0.625)
Mo (0.623, 0.455, 0.875)
N (0.000, 0.500, 0.000)
N (0.199, 0.650, 0.500)
N (0.350, 0.801, 0.000)
N (0.500, 0.000, 0.500)
N (0.650, 0.199, 0.000)
N (0.801, 0.350, 0.500)

Density functional theory data (GGA-PBE) for CoMo4PN2 after structural relaxation.

Cell: 2.905 2.905 13.338 Å, 90.00 90.00 120.00°
Sites, in units of the cell vectors:
Co (0.000, 0.000, 0.000)
Mo (0.000, 0.000, 0.362)
Mo (0.000, 0.000, 0.638)
Mo (0.333, 0.667, 0.156)
Mo (0.333, 0.667, 0.844)
P (0.333, 0.667, 0.500)
N (0.667, 0.333, 0.256)
N (0.667, 0.333, 0.744)

Density functional theory data (GGA-PBE) for CoMo4PbN2 after structural relaxation.

Cell: 3.240 3.240 12.381 Å, 90.00 90.00 120.00°
Sites, in units of the cell vectors:
Co (0.000, 0.000, 0.000)
Mo (0.000, 0.000, 0.304)
Mo (0.000, 0.000, 0.696)
Mo (0.333, 0.667, 0.137)
Mo (0.333, 0.667, 0.863)
Pb (0.333, 0.667, 0.500)
N (0.667, 0.333, 0.233)
N (0.667, 0.333, 0.767)

| no. | E (eV/atom) | V (Å³ per atom) |
| --- | --- | --- |
| 1 | -9.416 | 11.01 |
| 2 | -9.568 | 12.66 |
| 3 | -9.378 | 12.10 |
| 4 | -9.306 | 12.56 |
| 5 | -9.087 | 12.18 |
| 6 | -8.671 | 14.07 |